(1)
Below is crystalline Cr3AgC at its relaxed geometry, with properties calculated at the PBE level.

Lattice parameters (Å, degrees): 4.9815 4.9815 4.9815 90.00 90.00 90.00
Last column: nearest neighbours and their distance in Å.
Space group Pm-3m (No. 221)
One atom of each set of equivalent atoms:
Cr 0.0000 0.0000 0.5000  2 Ag 2.49
Ag 0.0000 0.0000 0.0000  6 Cr 2.49
C 0.5000 0.5000 0.5000  12 Cr 3.52

Calculated values
- Offset from the most stable computed form: 2367 meV/atom
- Spin magnetization: 12.49 μB/f.u.
- E_form: 2699 meV per atom


(2)
Below is crystalline ReTc2Hg at its relaxed geometry, with properties calculated at the PBE level.

Lattice parameters (Å, degrees): 5.6388 7.8421 2.8608 90.00 90.00 90.00
Last column: nearest neighbours and their distance in Å.
Space group Cmmm (No. 65)
One atom of each set of equivalent atoms:
Re 0.0000 0.0000 0.0000  8 Tc 2.81, 2 Hg 2.82, 2 Re 2.86
Tc 0.2500 0.2500 0.5000  4 Re 2.81, 4 Hg 2.81, 4 Tc 2.82-2.86
Hg 0.0000 0.5000 0.0000  8 Tc 2.81, 2 Re 2.82, 2 Hg 2.86

Calculated values
- Spin magnetization: 0.00 μB/f.u.
- E_form: 575 meV per atom


(3)
Below is crystalline VAgPt at its relaxed geometry, with properties calculated at the PBE level.

Lattice parameters (Å, degrees): 4.9901 7.5201 10.5200 90.00 90.00 90.00
Last column: nearest neighbours and their distance in Å.
Space group Fmmm (No. 69)
One atom of each set of equivalent atoms:
V 0.2500 0.2500 0.2500  2 V 2.50, 4 Pt 2.59
Ag 0.0000 0.1726 0.0000  3 Ag 2.60-2.75, 2 Pt 2.81
Pt 0.0000 0.0000 0.3708  4 V 2.59, 1 Pt 2.72, 2 Ag 2.81

Calculated values
- Spin magnetization: 0.00 μB/f.u.
- E_form: 9 meV per atom


(4)
Below is crystalline CuIr2Au at its relaxed geometry, with properties calculated at the PBE level.

Lattice parameters (Å, degrees): 3.8556 3.8556 8.0064 90.00 90.00 90.00
Last column: nearest neighbours and their distance in Å.
Space group I4/mmm (No. 139)
One atom of each set of equivalent atoms:
Cu 0.0000 0.0000 0.0000  4 Au 2.73, 8 Ir 2.78
Ir 0.0000 0.5000 0.2500  4 Ir 2.73, 4 Cu 2.78, 4 Au 2.78
Au 0.0000 0.0000 0.5000  4 Cu 2.73, 8 Ir 2.78

Calculated values
- Offset from the most stable computed form: 270 meV/atom
- Spin magnetization: 0.00 μB/f.u.
- E_form: 387 meV per atom


(5)
Below is crystalline Dy3Sc2Rh2 at its relaxed geometry, with properties calculated at the PBE level.

Lattice parameters (Å, degrees): 11.7117 3.6788 8.6548 90.00 115.61 90.00
Last column: nearest neighbours and their distance in Å.
Space group C2/m (No. 12)
One atom of each set of equivalent atoms:
Dy 0.0000 0.0000 0.0000  4 Rh 2.91
Dy 0.1121 0.0000 0.4306  3 Rh 2.83-2.89
Sc 0.1697 0.5000 0.8185  2 Rh 2.66
Rh 0.1878 0.5000 0.2349  2 Sc 2.66, 5 Dy 2.83-2.91

Calculated values
- Spin magnetization: 0.00 μB/f.u.
- E_form: -560 meV per atom


(6)
Below is crystalline Pm5Tl3Sn at its relaxed geometry, with properties calculated at the PBE level.

Lattice parameters (Å, degrees): 9.7035 9.7035 6.6628 90.00 90.00 120.00
Last column: nearest neighbours and their distance in Å.
Space group P6_3/mcm (No. 193)
One atom of each set of equivalent atoms:
Pm 0.0000 0.2759 0.2500  2 Sn 3.15, 5 Tl 3.32-3.49
Pm 0.3333 0.6667 0.0000  2 Pm 3.33, 6 Tl 3.45
Tl 0.0000 0.3822 0.7500  9 Pm 3.32-3.49
Sn 0.0000 0.0000 0.0000  6 Pm 3.15, 2 Sn 3.33

Calculated values
- Spin magnetization: 0.30 μB/f.u.
- E_form: -422 meV per atom